Here is OsSO2F at its PBEsol-relaxed geometry from Alexandria via LeMat-Bulk. Energies are from meta-GGA SCAN.

Geometry as POSCAR:
```
OsSO2F
1.0
3.7801 0.0000 0.0000
0.0000 3.7801 0.0000
0.0000 0.0000 4.3283
Os S O F
1 1 2 1
direct
0.0000 0.0000 0.0000
0.5000 0.5000 0.5000
0.0000 0.5000 0.0000
0.5000 0.0000 0.0000
0.0000 0.0000 0.5000
```

Values from the calculation:
formation energy without anion corrections	-0.184	eV per atom
total DFT energy (no corrections)	-0.7234	hartree per atom
SG	P4/mmm


Here is Sb2OsO2F14 at its PBEsol-relaxed geometry from Alexandria via LeMat-Bulk. Energies are from meta-GGA SCAN.

Geometry as POSCAR:
```
Sb2OsO2F14
1.0
7.5114 0.0000 0.0000
-3.1758 8.2606 0.0000
-3.6637 -2.7289 9.0973
Sb Os O F
4 2 4 28
direct
0.0574 0.1535 0.3217
0.4094 0.6995 0.8626
0.5906 0.3005 0.1374
0.9426 0.8465 0.6783
0.3287 0.7398 0.2483
0.6713 0.2602 0.7517
0.2727 0.7301 0.3938
0.4890 0.0565 0.7015
0.5110 0.9435 0.2985
0.7273 0.2699 0.6062
0.0190 0.8189 0.5228
0.0973 0.1364 0.1494
0.1095 0.7818 0.1333
0.1511 0.5165 0.1315
0.1567 0.0711 0.7568
0.1813 0.4850 0.7986
0.1827 0.7818 0.7960
0.2361 0.3878 0.3877
0.2749 0.0907 0.4216
0.3801 0.7329 0.0494
0.3839 0.3748 0.0523
0.3997 0.0707 0.0668
0.4086 0.6799 0.6767
0.4683 0.3400 0.7010
0.5317 0.6600 0.2990
0.5914 0.3201 0.3233
0.6003 0.9293 0.9332
0.6161 0.6252 0.9477
0.6199 0.2671 0.9506
0.7251 0.9093 0.5784
0.7639 0.6122 0.6123
0.8173 0.2182 0.2040
0.8187 0.5150 0.2014
0.8433 0.9289 0.2432
0.8489 0.4835 0.8685
0.8905 0.2182 0.8667
0.9027 0.8636 0.8506
0.9810 0.1811 0.4772
```

Values from the calculation:
formation energy without anion corrections	-1.977	eV per atom
total DFT energy (no corrections)	-0.4758	hartree per atom
SG	P-1


Here is SnOsOF2 at its PBEsol-relaxed geometry from Alexandria via LeMat-Bulk. Energies are from meta-GGA SCAN.

Geometry as POSCAR:
```
SnOsOF2
1.0
4.4214 0.0000 0.0000
0.0000 4.4214 0.0000
0.0000 0.0000 4.0090
Sn Os O F
1 1 1 2
direct
0.0000 0.0000 0.0000
0.5000 0.5000 0.5000
0.0000 0.0000 0.5000
0.0000 0.5000 0.0000
0.5000 0.0000 0.0000
```

Values from the calculation:
formation energy without anion corrections	-0.088	eV per atom
total DFT energy (no corrections)	-0.8934	hartree per atom
SG	P4/mmm


Here is SnOsO2F at its PBEsol-relaxed geometry from Alexandria via LeMat-Bulk. Energies are from meta-GGA SCAN.

Geometry as POSCAR:
```
SnOsO2F
1.0
4.0387 0.0000 0.0000
0.0000 4.0387 0.0000
0.0000 0.0000 4.1654
Sn Os O F
1 1 2 1
direct
0.0000 0.0000 0.0000
0.5000 0.5000 0.5000
0.0000 0.5000 0.0000
0.5000 0.0000 0.0000
0.0000 0.0000 0.5000
```

Values from the calculation:
formation energy without anion corrections	-0.009	eV per atom
total DFT energy (no corrections)	-0.9103	hartree per atom
SG	P4/mmm


Here is TaOsOF2 at its PBEsol-relaxed geometry from Alexandria via LeMat-Bulk. Energies are from meta-GGA SCAN.

Geometry as POSCAR:
```
TaOsOF2
1.0
4.1903 0.0000 0.0000
0.0000 4.1903 0.0000
0.0000 0.0000 3.8981
Ta Os O F
1 1 1 2
direct
0.0000 0.0000 0.0000
0.5000 0.5000 0.5000
0.0000 0.0000 0.5000
0.0000 0.5000 0.0000
0.5000 0.0000 0.0000
```

Values from the calculation:
formation energy without anion corrections	-0.542	eV per atom
total DFT energy (no corrections)	-1.1354	hartree per atom
SG	P4/mmm


Here is OsWO2F at its PBEsol-relaxed geometry from Alexandria via LeMat-Bulk. Energies are from meta-GGA SCAN.

Geometry as POSCAR:
```
OsWO2F
1.0
3.6326 0.0000 0.0000
0.0000 3.6326 0.0000
0.0000 0.0000 6.3984
Os W O F
1 1 2 1
direct
0.0000 0.0000 0.0000
0.5000 0.5000 0.5000
0.0000 0.5000 0.0000
0.5000 0.0000 0.0000
0.0000 0.0000 0.5000
```

Values from the calculation:
formation energy without anion corrections	0.376	eV per atom
total DFT energy (no corrections)	-1.1443	hartree per atom
SG	P4/mmm


Here is ZrOsOF2 at its PBEsol-relaxed geometry from Alexandria via LeMat-Bulk. Energies are from meta-GGA SCAN.

Geometry as POSCAR:
```
ZrOsOF2
1.0
4.2587 0.0000 0.0000
0.0000 4.2587 0.0000
0.0000 0.0000 4.0548
Zr Os O F
1 1 1 2
direct
0.0000 0.0000 0.0000
0.5000 0.5000 0.5000
0.0000 0.0000 0.5000
0.0000 0.5000 0.0000
0.5000 0.0000 0.0000
```

Values from the calculation:
formation energy without anion corrections	-1.267	eV per atom
total DFT energy (no corrections)	-0.8983	hartree per atom
SG	P4/mmm


Here is POF at its PBEsol-relaxed geometry from Alexandria via LeMat-Bulk. Energies are from meta-GGA SCAN.

Geometry as POSCAR:
```
POF
1.0
4.4363 0.0000 0.0000
0.0345 4.7202 0.0000
0.0277 1.7999 4.8263
P O F
2 2 2
direct
0.0000 0.0000 0.0000
0.4982 0.8465 0.4260
0.3084 0.8404 0.1501
0.8063 0.0052 0.2761
0.1016 0.3475 0.9116
0.6034 0.4988 0.5159
```

Values from the calculation:
formation energy without anion corrections	-2.022	eV per atom
total DFT energy (no corrections)	-0.3214	hartree per atom
SG	P1